Material: MgTcOsRu2
Method: DFT, PBE
State: relaxed

a b c (Å): 4.300 4.392 4.300
angles (deg): 90.00 90.00 90.00
Fractional coordinates of all 5 atoms:
Ru: 0.500 0.000 0.000
Ru: 0.000 0.000 0.500
Tc: 0.000 0.500 0.000
Os: 0.500 0.500 0.500
Mg: 0.000 0.000 0.000

Results
Symmetry: P4/mmm, No. 123
Density in g/cm3: 10.5
Formation energy from the elements in meV per atom: 2016



Material: ThMgOsRu
Method: DFT, PBE
State: relaxed

a b c (Å): 4.739 4.739 4.739
angles (deg): 60.00 60.00 60.00
Fractional coordinates of all 4 atoms:
Mg: 0.000 0.000 0.000
Ru: 0.750 0.750 0.750
Th: 0.500 0.500 0.500
Os: 0.250 0.250 0.250

Results
Symmetry: F-43m, No. 216
Density in g/cm3: 12.1
Formation energy from the elements in meV per atom: -89



Material: MgTiOsRu
Method: DFT, PBE
State: relaxed

a b c (Å): 4.382 4.382 4.382
angles (deg): 60.00 60.00 60.00
Fractional coordinates of all 4 atoms:
Ru: 0.500 0.500 0.500
Os: 0.000 0.000 0.000
Ti: 0.250 0.250 0.250
Mg: 0.750 0.750 0.750

Results
Symmetry: F-43m, No. 216
Density in g/cm3: 10.1
Formation energy from the elements in meV per atom: -202



Material: MgOsRuW
Method: DFT, PBE
State: relaxed

a b c (Å): 4.388 4.388 4.388
angles (deg): 60.00 60.00 60.00
Fractional coordinates of all 4 atoms:
Mg: 0.000 0.000 0.000
W: 0.500 0.500 0.500
Os: 0.250 0.250 0.250
Ru: 0.750 0.750 0.750

Results
Symmetry: F-43m, No. 216
Density in g/cm3: 13.9
Formation energy from the elements in meV per atom: -89



Material: MgZrOsRu
Method: DFT, PBE
State: relaxed

a b c (Å): 4.533 4.533 4.533
angles (deg): 60.00 60.00 60.00
Fractional coordinates of all 4 atoms:
Zr: 0.250 0.250 0.250
Ru: 0.500 0.500 0.500
Os: 0.000 0.000 0.000
Mg: 0.750 0.750 0.750

Results
Symmetry: F-43m, No. 216
Density in g/cm3: 10.3
Formation energy from the elements in meV per atom: -167



Material: Mg3OsS
Method: DFT, PBE
State: relaxed

a b c (Å): 4.929 4.929 4.929
angles (deg): 90.00 90.00 90.00
Fractional coordinates of all 5 atoms:
Os: 0.000 0.000 0.000
Mg: 0.000 0.500 0.000
Mg: 0.000 0.000 0.500
Mg: 0.500 0.000 0.000
S: 0.500 0.500 0.500

Results
Energy relative to the elements, uncorrected in eV/f.u.: 3.27
Symmetry: Pm-3m, No. 221
Density in g/cm3: 4.1



Material: MgOsS2
Method: DFT, PBE
State: relaxed

a b c (Å): 7.954 7.954 7.954
angles (deg): 23.34 23.34 23.34
Fractional coordinates of all 4 atoms:
Os: 0.000 0.000 0.000
S: 0.096 0.096 0.096
S: 0.904 0.904 0.904
Mg: 0.500 0.500 0.500

Results
Energy relative to the elements, uncorrected in eV/f.u.: 0.14
Symmetry: R-3m, No. 166
Density in g/cm3: 6.7



Material: Mg2OsS
Method: DFT, PBE
State: relaxed

a b c (Å): 7.147 7.147 5.719
angles (deg): 51.33 51.33 90.00
Last column: magnetic moment on the atom in μB.
Fractional coordinates of all 8 atoms:
S: 0.500 0.500 0.000  0.00
S: 0.250 0.750 0.500  0.00
Os: 0.000 0.000 0.000  0.12
Os: 0.750 0.250 0.500  0.12
Mg: 0.592 0.125 0.250  0.00
Mg: 0.375 0.408 0.750  0.00
Mg: 0.158 0.625 0.250  0.00
Mg: 0.875 0.842 0.750  0.00

Results
Energy relative to the elements, uncorrected in eV/f.u.: 1.30
Symmetry: I-42d, No. 122
Density in g/cm3: 6.6